Record 1
MoPd2O6 PBE+U relaxed; total magnetic moment = 1.0 μB per formula unit; DOS at the Fermi energy = 0.3250 states/eV per atom; E = -6.065 eV per atom
1.0
-3.9884 2.0463 -1.2456
-1.4676 -3.9992 -1.8707
-3.9047 -2.4969 8.4011
O Mo Pd
12 2 4
direct
0.8012 0.1988 0.0000
0.1988 0.8012 0.0000
0.3012 0.3012 0.5000
0.3083 0.3083 0.1628
0.1917 0.8083 0.3372
0.8083 0.1917 0.3372
0.3083 0.3083 0.8372
0.8083 0.1917 0.6628
0.6917 0.6917 0.8372
0.6917 0.6917 0.1628
0.1917 0.8083 0.6628
0.6988 0.6988 0.5000
0.0000 0.0000 0.5000
0.5000 0.5000 0.0000
0.5000 0.5000 0.3322
0.0000 0.0000 0.1678
0.0000 0.0000 0.8322
0.5000 0.5000 0.6678

---

Record 2
MoPd3O6 PBE+U relaxed; total magnetic moment = 0.4 μB per formula unit; DOS at the Fermi energy = 0.5338 states/eV per atom; E = -5.882 eV per atom
1.0
5.1159 0.0000 -0.1639
0.0000 5.0982 0.0000
-0.1971 0.0000 9.5132
O Pd Mo
12 6 2
direct
0.6464 0.4014 0.3188
0.1464 0.0986 0.8188
0.6735 0.1777 0.9242
0.3536 0.5986 0.6812
0.1735 0.3223 0.4242
0.3040 0.8133 0.4018
0.8536 0.9014 0.1812
0.8040 0.6867 0.9018
0.3265 0.8223 0.0758
0.6960 0.1867 0.5982
0.8265 0.6777 0.5758
0.1960 0.3133 0.0982
0.9975 0.5979 0.3008
0.4975 0.9021 0.8008
0.5000 0.5000 0.0000
0.0000 0.0000 0.5000
0.0025 0.4021 0.6992
0.5025 0.0979 0.1992
0.0000 0.0000 0.0000
0.5000 0.5000 0.5000

---

Record 3
MoPdO2 PBE+U relaxed; total magnetic moment = 1.2 μB per formula unit; DOS at the Fermi energy = 0.7600 states/eV per atom; E = -5.597 eV per atom
1.0
3.5546 5.9220 0.6194
5.3132 3.9685 2.0272
5.4300 4.2090 -0.9425
O Pd Mo
2 1 1
direct
0.0927 0.0927 0.0927
0.9073 0.9073 0.9073
0.5000 0.5000 0.5000
0.0000 0.0000 0.0000